A plane-wave DFT calculation with PBE was carried out for Pm8Sb5Te after structural relaxation.

The space group is I-4 (No. 82) and the conventional cell measures 9.428, 9.428 and 9.445 Å, with angles of 90.00, 90.00 and 90.00 degrees. The distinct sites, in fractional coordinates, are Pm at (0.071, 0.177, 0.196), Pm at (0.072, 0.319, 0.556), Sb at (0.000, 0.000, 0.500), Sb at (0.125, 0.250, 0.876) and Te at (0.000, 0.500, 0.250).

The total energy comes out at -5.498 eV per atom. As for the crystal system: tetragonal.